Compound: LiMoS3
Source: Alexandria
Functional: PBE-GGA
Structure: optimized geometry

The structure in POSCAR format:
```
LiMoS3
1.0
4.3388 0.0000 0.0000
0.0000 4.3388 0.0000
0.0000 0.0000 4.3388
Li Mo S
1 1 3
Direct
0.0000 0.0000 0.0000
0.5000 0.5000 0.5000
0.0000 0.0000 0.5000
0.0000 0.5000 0.0000
0.5000 0.0000 0.0000
```

- ΔE to the lowest computed polymorph: 1325.1 meV/atom
- ΔE_f (raw): 15.3 kcal/mol of atoms
- Calculated total energy: -21.8 eV per cell



Compound: LiMoS2
Source: Alexandria
Functional: PBE-GGA
Structure: optimized geometry

The structure in POSCAR format:
```
LiMoS2
1.0
1.6372 0.9452 7.7508
-1.6372 0.9452 7.7508
0.0000 -1.8905 7.7508
Li Mo S
1 1 2
Direct
0.0000 0.0000 0.0000
0.5000 0.5000 0.5000
0.0991 0.0991 0.0991
0.9009 0.9009 0.9009
```

- ΔE to the lowest computed polymorph: 372.6 meV/atom
- ΔE_f (raw): -14.2 kcal/mol of atoms
- Calculated total energy: -23.5 eV per cell



Compound: Li3Mo6S8
Source: Alexandria
Functional: PBE-GGA
Structure: optimized geometry

The structure in POSCAR format:
```
Li3Mo6S8
1.0
6.6772 0.0000 0.0000
-0.6255 6.6655 0.0000
-1.0972 -0.9916 13.2501
Li Mo S
6 12 16
Direct
0.0000 0.0000 0.0000
0.0255 0.4153 0.2738
0.1590 0.9324 0.2499
0.4024 0.9518 0.7945
0.9291 0.1262 0.7573
0.9740 0.0118 0.4860
0.2412 0.4056 0.5574
0.2517 0.3992 0.0571
0.4216 0.5429 0.3999
0.4298 0.5342 0.8988
0.4631 0.7655 0.5780
0.4790 0.7590 0.0770
0.5532 0.2252 0.4892
0.5637 0.2199 0.9898
0.5988 0.4502 0.6685
0.6088 0.4445 0.1672
0.7754 0.5882 0.5114
0.7905 0.5770 0.0092
0.1418 0.7067 0.4698
0.1562 0.6984 0.9707
0.2216 0.2079 0.3904
0.2285 0.2022 0.8915
0.2972 0.6113 0.7184
0.3087 0.6139 0.2166
0.3841 0.1259 0.6406
0.3944 0.1203 0.1424
0.6290 0.8670 0.4255
0.6485 0.8608 0.9256
0.7183 0.3727 0.3519
0.7323 0.3667 0.8499
0.7922 0.7843 0.6757
0.8131 0.7745 0.1730
0.8772 0.2839 0.5956
0.8877 0.2778 0.0979
```

- ΔE_f (raw): -20.3 kcal/mol of atoms
- Calculated total energy: -237.5 eV per cell



Compound: Li3MoS
Source: Alexandria
Functional: PBE-GGA
Structure: optimized geometry

The structure in POSCAR format:
```
Li3MoS
1.0
4.6630 0.0000 0.0000
0.0000 4.6630 0.0000
0.0000 0.0000 4.6630
Li Mo S
3 1 1
Direct
0.0000 0.0000 0.5000
0.0000 0.5000 0.0000
0.5000 0.0000 0.0000
0.5000 0.5000 0.5000
0.0000 0.0000 0.0000
```

- ΔE to the lowest computed polymorph: 0.0 meV/atom
- ΔE_f (raw): 5.5 kcal/mol of atoms
- Calculated total energy: -19.5 eV per cell



Number 1: total moment 1.6 μB per formula unit, ρ 4.05 g/cm3, DOS(E_F) 3.437 states/eV/cell. Number 2: total moment 0.0 μB per formula unit, ρ 3.85 g/cm3, DOS(E_F) 2.022 states/eV/cell. Number 3: total moment 0.0 μB per formula unit, ρ 4.80 g/cm3, DOS(E_F) 19.984 states/eV/cell. Number 4: total moment 5.0 μB per formula unit, ρ 2.44 g/cm3, DOS(E_F) 0.182 states/eV/cell.